## one
A geometry-optimized Sm2Er structure, computed with PBE-GGA.

a = 9.022 Å, b = 9.022 Å, c = 9.022 Å
α = 60.00°, β = 60.00°, γ = 60.00°
Fractional positions:
Er 0.875 0.875 0.875
Er 0.125 0.125 0.125
Sm 0.000 0.000 0.500
Sm 0.000 0.500 0.000
Sm 0.500 0.000 0.000
Sm 0.000 0.000 0.000

## two
A geometry-optimized Sm2Er structure, computed with PBE-GGA.

a = 6.583 Å, b = 6.583 Å, c = 6.583 Å
α = 60.00°, β = 60.00°, γ = 60.00°
Fractional positions:
Er 0.000 0.000 0.000
Er 0.250 0.250 0.250
Sm 0.625 0.625 0.125
Sm 0.625 0.625 0.625
Sm 0.625 0.125 0.625
Sm 0.125 0.625 0.625

Which of them is the most stable, and which is the least stable? two and one, in that order.

## one
A geometry-optimized SmErZn4 structure, computed with PBE-GGA.

a = 3.491 Å, b = 4.487 Å, c = 7.779 Å
α = 90.00°, β = 90.00°, γ = 90.00°
Fractional positions:
Zn 0.499 0.000 0.672
Zn 0.499 0.500 0.162
Er 0.000 0.000 0.000
Zn 0.501 0.500 0.838
Zn 0.501 0.000 0.328
Sm 0.000 0.500 0.500

## two
A geometry-optimized SmErZn4 structure, computed with PBE-GGA.

a = 5.664 Å, b = 5.664 Å, c = 5.664 Å
α = 133.40°, β = 101.72°, γ = 96.31°
Fractional positions:
Zn 0.039 0.833 0.206
Sm 0.034 0.534 0.500
Zn 0.869 0.164 0.704
Er 0.473 0.473 0.000
Zn 0.460 0.164 0.296
Zn 0.626 0.833 0.794

Which of them is the most stable, and which is the least stable? two and one, in that order.

## one
A geometry-optimized ErZrSn structure, computed with PBE-GGA.

a = 8.045 Å, b = 8.045 Å, c = 8.045 Å
α = 35.87°, β = 35.87°, γ = 35.87°
Fractional positions:
Sn 0.420 0.420 0.420
Er 0.866 0.866 0.866
Er 0.134 0.134 0.134
Zr 0.711 0.711 0.711
Sn 0.580 0.580 0.580
Zr 0.289 0.289 0.289

## two
A geometry-optimized ErZrSn structure, computed with PBE-GGA.

a = 5.006 Å, b = 5.006 Å, c = 5.006 Å
α = 60.00°, β = 60.00°, γ = 60.00°
Fractional positions:
Er 0.250 0.250 0.250
Zr 0.000 0.000 0.000
Sn 0.750 0.750 0.750

## three
A geometry-optimized ErZrSn structure, computed with PBE-GGA.

a = 4.359 Å, b = 4.359 Å, c = 8.155 Å
α = 90.00°, β = 90.00°, γ = 90.00°
Fractional positions:
Er 0.000 0.500 0.161
Zr 0.500 0.500 0.500
Sn 0.500 0.000 0.230
Sn 0.000 0.500 0.770
Er 0.500 0.000 0.839
Zr 0.000 0.000 0.500

Which of them is the most stable, and which is the least stable? three and two, in that order.